Compound: NaZn6Ag6
Source: OQMD via LeMat-Bulk
Functional: PBE
Structure: optimized geometry

Cell lengths 7.040, 7.040, 7.040 Å; angles 136.68, 98.97, 96.70 degrees
Atoms (fractional coordinates):
Na 0.000 0.000 0.000
Zn 0.000 0.000 0.500
Zn 0.000 0.500 0.000
Zn 0.231 0.731 0.500
Zn 0.500 0.000 0.000
Zn 0.500 0.500 0.500
Zn 0.769 0.269 0.500
Ag 0.191 0.500 0.691
Ag 0.345 0.000 0.345
Ag 0.348 0.348 0.000
Ag 0.652 0.652 0.000
Ag 0.655 0.000 0.655
Ag 0.809 0.500 0.309

Results
As for the final energy: -2.06 eV per atom.